# 1
VASP calculation (PBE) on a relaxed Pm4InTc crystal.

## Properties
Formation energy = -190.5 meV/atom
Space-group type = No. 15

Cell: 6.361 8.005 8.005 Å, 112.48 99.68 99.68°
Atoms (fractional coordinates):
Pm: 0.892 0.638 0.796
Pm: 0.047 0.942 0.276
Pm: 0.608 0.204 0.362
Pm: 0.453 0.724 0.058
Pm: 0.547 0.276 0.942
Pm: 0.392 0.796 0.638
Pm: 0.953 0.058 0.724
Pm: 0.108 0.362 0.204
In: 0.750 0.623 0.377
In: 0.250 0.377 0.623
Tc: 0.250 0.000 0.000
Tc: 0.750 0.000 0.000


# 2
VASP calculation (PBE) on a relaxed Pm3InTe2 crystal.

## Properties
Energy relative to the elements, uncorrected = -1.11 eV per atom
Excess energy over the best structure of this formula in the dataset = 5 meV/atom
Space-group type = No. 15

Cell: 7.687 7.780 7.780 Å, 119.53 99.77 99.77°
Atoms (fractional coordinates):
Pm: 0.002 0.171 0.336
Pm: 0.502 0.336 0.171
Pm: 0.000 0.500 0.000
Pm: 0.998 0.829 0.664
Pm: 0.500 0.000 0.500
Pm: 0.498 0.664 0.829
In: 0.250 0.585 0.415
In: 0.750 0.415 0.585
Te: 0.250 0.917 0.083
Te: 0.250 0.247 0.753
Te: 0.750 0.083 0.917
Te: 0.750 0.753 0.247


Here are the calculated magnetization numbers, same order: 0.00, 0.00 (Bohr magnetons per cell).